Compound: Zn4SiAg
Source: Alexandria
Functional: PBE
Structure: optimized geometry

Cell lengths 5.146, 5.146, 5.146 Å; angles 60.00, 60.00, 60.00 degrees
Fractional positions:
1 Zn 0.375 0.875 0.375
2 Zn 0.375 0.375 0.375
3 Zn 0.875 0.375 0.375
4 Zn 0.375 0.375 0.875
5 Ag 0.750 0.750 0.750
6 Si 0.000 0.000 0.000

Its space group is F-43m, No. 216. The crystal system is cubic. The formation energy without anion corrections is 0.190 eV per atom.